DFT (GGA-PBE) results for a relaxed YTeAs2Se crystal.

The space group is P4/mmm (No. 123) and the conventional cell measures 5.537, 5.537 and 5.261 Å, with angles of 90.00, 90.00 and 90.00 degrees. The inequivalent atoms are Y at (0.000, 0.000, 0.000), Te at (0.500, 0.500, 0.500), As at (0.000, 0.500, 0.000) and Se at (0.000, 0.000, 0.500).

Its total energy is -20.9 eV per cell. For the magnetic moment, the calculation gives 0.00 Bohr magnetons per cell. As for the crystal system: tetragonal. The energy above the most stable polymorph in this dataset is 0.28 eV/f.u.

DFT (GGA-PBE) results for a relaxed VOsN3 crystal.

The space group is Pm-3m (No. 221) and the conventional cell measures 3.852, 3.852 and 3.852 Å, with angles of 90.00, 90.00 and 90.00 degrees. The inequivalent atoms are V at (0.000, 0.000, 0.000), Os at (0.500, 0.500, 0.500) and N at (0.000, 0.500, 0.500).

Its total energy is -40.7 eV per cell. For the magnetic moment, the calculation gives 2.50 Bohr magnetons per cell. As for the crystal system: cubic.

DFT (GGA-PBE) results for a relaxed TiBe2Ga2 crystal.

The space group is I4/mmm (No. 139) and the conventional cell measures 3.597, 3.597 and 10.292 Å, with angles of 90.00, 90.00 and 90.00 degrees. The inequivalent atoms are Ti at (0.000, 0.000, 0.000), Be at (0.000, 0.500, 0.250) and Ga at (0.000, 0.000, 0.386).

Its total energy is -43.4 eV per cell. The energy of formation is -0.06 eV/atom. For the magnetic moment, the calculation gives 0.00 Bohr magnetons per cell. As for the crystal system: tetragonal. The energy above the most stable polymorph in this dataset is 0.00 eV/f.u.

DFT (GGA-PBE) results for a relaxed BeNi crystal.

The space group is F-43m (No. 216) and the conventional cell measures 4.717, 4.717 and 4.717 Å, with angles of 90.00, 90.00 and 90.00 degrees. The inequivalent atoms are Be at (0.000, 0.000, 0.000) and Ni at (0.250, 0.250, 0.750).

Its total energy is -31.3 eV per cell. The energy of formation is 0.85 eV/atom. For the magnetic moment, the calculation gives 0.00 Bohr magnetons per cell. As for the crystal system: cubic.

DFT (GGA-PBE) results for a relaxed Na2HgS2 crystal.

The space group is I4/mmm (No. 139) and the conventional cell measures 3.776, 3.776 and 16.649 Å, with angles of 90.00, 90.00 and 90.00 degrees. The inequivalent atoms are Na at (0.000, 0.000, 0.124), Hg at (0.000, 0.000, 0.500) and S at (0.000, 0.500, 0.250).

Its total energy is -25.0 eV per cell. For the magnetic moment, the calculation gives 0.00 Bohr magnetons per cell. As for the crystal system: tetragonal. The energy above the most stable polymorph in this dataset is 2.53 eV/f.u.

DFT (GGA-PBE) results for a relaxed TiCrMo2 crystal.

The space group is I-42d (No. 122) and the conventional cell measures 6.931, 6.931 and 5.289 Å, with angles of 90.00, 90.00 and 90.00 degrees. The inequivalent atoms are Ti at (0.000, 0.000, 0.000), Cr at (0.000, 0.000, 0.500) and Mo at (0.222, 0.250, 0.625).

Its total energy is -147.9 eV per cell. The energy of formation is 0.55 eV/atom. For the magnetic moment, the calculation gives 0.00 Bohr magnetons per cell. As for the crystal system: tetragonal. The energy above the most stable polymorph in this dataset is 2.37 eV/f.u.